No. 1
Ac8IrRh3Br3 PBE relaxed; electronic total energy = -5.6314 eV per atom; volume = 35.97 A^3/atom; crystal system = monoclinic; uncorrected formation energy = -1.0447 eV per atom; ρ = 7.87 g/cm3
1.0
7.537 -4.351 0.000
7.537 4.351 0.000
-5.028 0.000 8.225
Ac Ir Rh Br
8 1 3 3
Direct
0.231 0.231 0.695 Ac
0.232 0.733 0.695 Ac
0.267 0.267 0.304 Ac
0.267 0.768 0.305 Ac
0.733 0.232 0.695 Ac
0.733 0.733 0.696 Ac
0.768 0.267 0.305 Ac
0.769 0.769 0.305 Ac
0.000 0.000 0.500 Ir
0.000 0.500 0.500 Rh
0.500 0.000 0.500 Rh
0.500 0.500 0.500 Rh
0.000 0.000 0.000 Br
0.000 0.500 0.000 Br
0.500 0.000 0.000 Br

---

No. 2
Ac4IrRhBr2 PBE relaxed; electronic total energy = -5.6820 eV per atom; volume = 33.92 A^3/atom; crystal system = monoclinic; uncorrected formation energy = -1.1830 eV per atom; ρ = 8.34 g/cm3
1.0
7.527 0.000 0.000
0.000 4.349 0.000
-2.477 0.000 8.290
Ac Ir Rh Br
4 1 1 2
Direct
0.229 0.000 0.194 Ac
0.268 0.500 0.806 Ac
0.732 0.500 0.194 Ac
0.771 0.000 0.806 Ac
0.000 0.500 0.000 Ir
0.500 0.000 0.000 Rh
0.000 0.000 0.500 Br
0.500 0.500 0.500 Br

---

No. 3
Ac8Ir3RhBr3 PBE relaxed; electronic total energy = -5.8349 eV per atom; volume = 35.93 A^3/atom; crystal system = monoclinic; uncorrected formation energy = -1.0469 eV per atom; ρ = 8.43 g/cm3
1.0
7.570 -4.368 0.000
7.570 4.368 0.000
-5.028 0.000 8.149
Ac Ir Rh Br
8 3 1 3
Direct
0.230 0.733 0.695 Ac
0.232 0.232 0.696 Ac
0.267 0.267 0.305 Ac
0.267 0.770 0.305 Ac
0.733 0.230 0.695 Ac
0.733 0.733 0.695 Ac
0.768 0.768 0.304 Ac
0.770 0.267 0.305 Ac
0.000 0.000 0.500 Ir
0.000 0.500 0.500 Ir
0.500 0.000 0.500 Ir
0.500 0.500 0.500 Rh
0.000 0.500 0.000 Br
0.500 0.000 0.000 Br
0.500 0.500 0.000 Br

---

Which value of volume does entry 1 give? 35.97 A^3/atom

---

The lowest volume belongs to which entry? Ac4IrRhBr2

---

The highest electronic total energy belongs to which entry? Ac8IrRh3Br3